The following is a DFT calculation (GGA+U) of an optimized crystal structure of AlCdCo2O.

Calculated values
The density of states at the Fermi level is 0.486 states/eV per atom. Its total energy is -3.025 eV/atom. For the volume, the calculation gives 103 Å³/f.u.

Lattice parameters (Å, degrees): 5.062 4.024 5.062 90.00 90.00 90.00
Site moments in Bohr magnetons follow the coordinates.
Sites, in units of the cell vectors:
Co 0.500 0.000 0.000  2.08
Al 0.500 0.500 0.500  -0.01
Cd 0.000 0.000 0.000  0.00
O 0.000 0.500 0.000  0.11
Co 0.000 0.000 0.500  2.10